Record 1
Entry from OQMD: a geometry-optimized BeFeHgMo structure (PBE).

- magnetic moment (μB per cell) = 0.004
- offset from the most stable computed form (meV/atom) = 0
- SG = No. 216

The structure in CIF format:
```
data_BeFeHgMo
_cell_length_a 4.248
_cell_length_b 4.248
_cell_length_c 4.248
_cell_angle_alpha 60.00
_cell_angle_beta 60.00
_cell_angle_gamma 60.00
_space_group_name_H-M_alt 'P 1'
_space_group_IT_number 1
loop_
_space_group_symop_operation_xyz
'x,y,z'
loop_
_atom_site_label
_atom_site_type_symbol
_atom_site_fract_x
_atom_site_fract_y
_atom_site_fract_z
Be1 Be 0.750 0.750 0.750
Fe1 Fe 0.250 0.250 0.250
Hg1 Hg 0.500 0.500 0.500
Mo1 Mo 0.000 0.000 0.000
```

---

Record 2
Entry from OQMD: a geometry-optimized Cd2HSeBrO4 structure (PBE).

- DFT total energy (hartree per atom) = -0.160
- SG = No. 15

The structure in CIF format:
```
data_Cd2HSeBrO4
_cell_length_a 10.070
_cell_length_b 10.070
_cell_length_c 6.840
_cell_angle_alpha 97.85
_cell_angle_beta 97.85
_cell_angle_gamma 59.75
_space_group_name_H-M_alt 'P 1'
_space_group_IT_number 1
loop_
_space_group_symop_operation_xyz
'x,y,z'
loop_
_atom_site_label
_atom_site_type_symbol
_atom_site_fract_x
_atom_site_fract_y
_atom_site_fract_z
Br1 Br 0.727 0.518 0.115
Br2 Br 0.482 0.273 0.385
Br3 Br 0.518 0.727 0.615
Br4 Br 0.273 0.482 0.885
Cd1 Cd 0.340 0.203 0.028
Cd2 Cd 0.982 0.192 0.139
Cd3 Cd 0.808 0.018 0.361
Cd4 Cd 0.797 0.660 0.472
Cd5 Cd 0.203 0.340 0.528
Cd6 Cd 0.192 0.982 0.639
Cd7 Cd 0.018 0.808 0.861
Cd8 Cd 0.660 0.797 0.972
H1 H 0.069 0.407 0.174
H2 H 0.593 0.931 0.326
H3 H 0.407 0.069 0.674
H4 H 0.931 0.593 0.826
O1 O 0.812 0.101 0.063
O2 O 0.418 0.947 0.092
O3 O 0.006 0.806 0.192
O4 O 0.134 0.298 0.198
O5 O 0.702 0.866 0.302
O6 O 0.194 0.994 0.308
O7 O 0.053 0.582 0.408
O8 O 0.899 0.188 0.437
O9 O 0.101 0.812 0.563
O10 O 0.947 0.418 0.592
O11 O 0.806 0.006 0.692
O12 O 0.298 0.134 0.698
O13 O 0.866 0.702 0.802
O14 O 0.994 0.194 0.808
O15 O 0.582 0.053 0.908
O16 O 0.188 0.899 0.937
Se1 Se 0.319 0.859 0.143
Se2 Se 0.141 0.681 0.357
Se3 Se 0.859 0.319 0.643
Se4 Se 0.681 0.141 0.857
```

---

Record 3
Entry from OQMD: a geometry-optimized PaZnHg structure (PBE).

- magnetic moment (μB per cell) = 0.781
- offset from the most stable computed form (meV/atom) = 347
- SG = No. 216

The structure in CIF format:
```
data_PaZnHg
_cell_length_a 4.886
_cell_length_b 4.886
_cell_length_c 4.886
_cell_angle_alpha 60.00
_cell_angle_beta 60.00
_cell_angle_gamma 60.00
_space_group_name_H-M_alt 'P 1'
_space_group_IT_number 1
loop_
_space_group_symop_operation_xyz
'x,y,z'
loop_
_atom_site_label
_atom_site_type_symbol
_atom_site_fract_x
_atom_site_fract_y
_atom_site_fract_z
Hg1 Hg 0.250 0.250 0.250
Pa1 Pa 0.000 0.000 0.000
Zn1 Zn 0.750 0.750 0.750
```

---

Record 4
Entry from OQMD: a geometry-optimized PtSO4 structure (PBE).

- magnetic moment (μB per cell) = 0.003
- DFT total energy (hartree per atom) = -0.211
- SG = No. 23

The structure in CIF format:
```
data_PtSO4
_cell_length_a 6.752
_cell_length_b 6.752
_cell_length_c 6.752
_cell_angle_alpha 145.83
_cell_angle_beta 102.87
_cell_angle_gamma 87.13
_space_group_name_H-M_alt 'P 1'
_space_group_IT_number 1
loop_
_space_group_symop_operation_xyz
'x,y,z'
loop_
_atom_site_label
_atom_site_type_symbol
_atom_site_fract_x
_atom_site_fract_y
_atom_site_fract_z
O1 O 0.474 0.797 0.102
O2 O 0.806 0.191 0.191
O3 O 0.526 0.628 0.323
O4 O 0.194 0.384 0.384
O5 O 0.000 0.809 0.616
O6 O 0.305 0.203 0.677
O7 O 0.000 0.616 0.809
O8 O 0.695 0.372 0.898
Pt1 Pt 0.730 0.230 0.500
Pt2 Pt 0.270 0.770 0.500
S1 S 0.500 0.500 0.000
S2 S 0.000 0.500 0.500
```

---

Record 5
Entry from OQMD: a geometry-optimized LaCuNiSn structure (PBE).

- magnetic moment (μB per cell) = 0.001
- offset from the most stable computed form (meV/atom) = 289
- SG = No. 216

The structure in CIF format:
```
data_LaCuNiSn
_cell_length_a 4.880
_cell_length_b 4.880
_cell_length_c 4.880
_cell_angle_alpha 60.00
_cell_angle_beta 60.00
_cell_angle_gamma 60.00
_space_group_name_H-M_alt 'P 1'
_space_group_IT_number 1
loop_
_space_group_symop_operation_xyz
'x,y,z'
loop_
_atom_site_label
_atom_site_type_symbol
_atom_site_fract_x
_atom_site_fract_y
_atom_site_fract_z
Cu1 Cu 0.750 0.750 0.750
La1 La 0.000 0.000 0.000
Ni1 Ni 0.500 0.500 0.500
Sn1 Sn 0.250 0.250 0.250
```

---

Record 6
Entry from OQMD: a geometry-optimized K2ScAuCl6 structure (PBE).

- magnetic moment (μB per cell) = 0.001
- offset from the most stable computed form (meV/atom) = 0
- SG = No. 146

The structure in CIF format:
```
data_K2ScAuCl6
_cell_length_a 7.113
_cell_length_b 7.113
_cell_length_c 7.113
_cell_angle_alpha 62.45
_cell_angle_beta 62.45
_cell_angle_gamma 62.45
_space_group_name_H-M_alt 'P 1'
_space_group_IT_number 1
loop_
_space_group_symop_operation_xyz
'x,y,z'
loop_
_atom_site_label
_atom_site_type_symbol
_atom_site_fract_x
_atom_site_fract_y
_atom_site_fract_z
Au1 Au 0.501 0.501 0.501
Cl1 Cl 0.316 0.771 0.160
Cl2 Cl 0.840 0.684 0.227
Cl3 Cl 0.771 0.160 0.316
Cl4 Cl 0.227 0.840 0.684
Cl5 Cl 0.160 0.316 0.771
Cl6 Cl 0.684 0.227 0.840
K1 K 0.260 0.260 0.260
K2 K 0.744 0.744 0.744
Sc1 Sc 0.000 0.000 0.000
```

---

Record 7
Entry from OQMD: a geometry-optimized YCoI structure (PBE).

- magnetic moment (μB per cell) = 0.473
- DFT total energy (hartree per atom) = -0.214
- SG = No. 166

The structure in CIF format:
```
data_YCoI
_cell_length_a 12.524
_cell_length_b 12.524
_cell_length_c 12.524
_cell_angle_alpha 18.30
_cell_angle_beta 18.30
_cell_angle_gamma 18.30
_space_group_name_H-M_alt 'P 1'
_space_group_IT_number 1
loop_
_space_group_symop_operation_xyz
'x,y,z'
loop_
_atom_site_label
_atom_site_type_symbol
_atom_site_fract_x
_atom_site_fract_y
_atom_site_fract_z
Co1 Co 0.165 0.165 0.165
Co2 Co 0.835 0.835 0.835
I1 I 0.275 0.275 0.275
I2 I 0.725 0.725 0.725
Y1 Y 0.450 0.450 0.450
Y2 Y 0.550 0.550 0.550
```

---

Record 8
Entry from OQMD: a geometry-optimized PrSiPt2 structure (PBE).

- magnetic moment (μB per cell) = 0.000
- DFT total energy (hartree per atom) = -0.240
- SG = No. 11

The structure in CIF format:
```
data_PrSiPt2
_cell_length_a 5.773
_cell_length_b 4.233
_cell_length_c 6.728
_cell_angle_alpha 90.00
_cell_angle_beta 90.74
_cell_angle_gamma 90.00
_space_group_name_H-M_alt 'P 1'
_space_group_IT_number 1
loop_
_space_group_symop_operation_xyz
'x,y,z'
loop_
_atom_site_label
_atom_site_type_symbol
_atom_site_fract_x
_atom_site_fract_y
_atom_site_fract_z
Pr1 Pr 0.365 0.250 0.253
Pr2 Pr 0.635 0.750 0.747
Pt1 Pt 0.852 0.250 0.054
Pt2 Pt 0.841 0.250 0.465
Pt3 Pt 0.159 0.750 0.535
Pt4 Pt 0.148 0.750 0.946
Si1 Si 0.890 0.750 0.248
Si2 Si 0.110 0.250 0.752
```